Density functional theory data (PBE-GGA) for YBeAg2 after structural relaxation.

```
4
Lattice="4.2837 0.0000 0.0000 0.0000 4.2837 0.0000 0.0000 0.0000 4.2900" Properties=species:S:1:pos:R:3 pbc="T T T"
Y 0.0000 0.0000 0.0000
Be 2.1419 2.1419 0.0000
Ag 0.0000 2.1419 2.1450
Ag 2.1419 0.0000 2.1450
```

Formation energy from the elements: 0.178 eV per atom
DOS at the Fermi energy: 2.7 states/eV per cell


Density functional theory data (PBE-GGA) for La4PtRhAu2 after structural relaxation.

```
8
Lattice="7.4020 0.0000 0.0000 0.0000 4.2650 0.0000 -2.4552 0.0000 7.2051" Properties=species:S:1:pos:R:3 pbc="T T T"
La 1.1996 0.0000 1.6236
La -0.0297 2.1325 5.5707
La 4.9764 2.1325 1.6344
La 3.7471 0.0000 5.5815
Pt 3.7010 0.0000 0.0000
Rh 0.0000 2.1325 0.0000
Au -1.2276 0.0000 3.6025
Au 2.4734 2.1325 3.6025
```

Formation energy from the elements: -0.883 eV per atom
DOS at the Fermi energy: 4.4 states/eV per cell


Q: Look up the DOS at the Fermi energy of the second one.
A: 4.4 states/eV per cell